Entry 1:
## AlSbOs2 (PBE)

Data for a relaxed AlSbOs2 crystal.

Cell: 5.1830 5.1830 3.0058 Å, 73.68 73.68 109.97°
Sites, in units of the cell vectors:
Sb  0.5000  0.0000  0.5000
Os  0.5000  0.5000  0.0000
Al  0.0000  0.5000  0.5000
Os  0.0000  0.0000  0.0000

Computed properties:
The space-group type is C2/m, No. 12. As for the total energy: -28.3 eV for the cell shown. As for the crystal system: monoclinic. The energy relative to the elements, uncorrected is 1.99 eV/f.u.



Entry 2:
## Y2CrCd (PBE)

Data for a relaxed Y2CrCd crystal.

Cell: 3.4955 5.0615 22.0382 Å, 90.00 90.06 90.00°
Sites, in units of the cell vectors:
Cr  0.5333  0.5000  0.1166
Cr  0.0325  0.0000  0.5467
Y  0.5326  0.5000  0.5240
Cr  0.0325  0.5000  0.0467
Y  0.0333  0.5000  0.6574
Cd  0.0309  0.5000  0.3863
Cd  0.0304  0.0000  0.3024
Cr  0.5333  0.0000  0.6166
Cd  0.0304  0.5000  0.8024
Cd  0.0309  0.0000  0.8863
Y  0.0333  0.0000  0.1574
Y  0.5309  0.0000  0.7576
Y  0.5310  0.0000  0.4252
Y  0.5310  0.5000  0.9252
Y  0.5309  0.5000  0.2576
Y  0.5326  0.0000  0.0240

Computed properties:
The space-group type is Cm, No. 8. As for the total energy: -93.6 eV for the cell shown. Its energy of formation is 14 meV/atom. As for the crystal system: monoclinic.



Entry 3:
## GdMgAgHg (PBE)

Data for a relaxed GdMgAgHg crystal.

Cell: 4.9864 4.9864 4.9864 Å, 60.00 60.00 60.00°
Sites, in units of the cell vectors:
Mg  0.0000  0.0000  0.0000
Hg  0.7500  0.7500  0.7500
Ag  0.5000  0.5000  0.5000
Gd  0.2500  0.2500  0.2500

Computed properties:
The space-group type is F-43m, No. 216. As for the total energy: -19.7 eV for the cell shown. Its energy of formation is -221 meV/atom. As for the crystal system: cubic.



Entry 4:
## LiGaGePb (PBE)

Data for a relaxed LiGaGePb crystal.

Cell: 5.0125 5.0125 5.0125 Å, 60.00 60.00 60.00°
Sites, in units of the cell vectors:
Pb  0.5000  0.5000  0.5000
Li  0.7500  0.7500  0.7500
Ga  0.0000  0.0000  0.0000
Ge  0.2500  0.2500  0.2500

Computed properties:
The space-group type is F-43m, No. 216. As for the total energy: -13.3 eV for the cell shown. Its energy of formation is -7 meV/atom. As for the crystal system: cubic.



Entry 5:
## ZnIrRu2 (PBE)

Data for a relaxed ZnIrRu2 crystal.

Cell: 4.7083 4.7083 4.6494 Å, 80.95 80.95 33.75°
Sites, in units of the cell vectors:
Ru  0.5062  0.5062  0.4997
Zn  0.7500  0.7500  0.7500
Ir  0.2500  0.2500  0.2500
Ru  0.9938  0.9938  0.0003

Computed properties:
The space-group type is C2/m, No. 12. As for the total energy: -28.5 eV for the cell shown. Its energy of formation is 47 meV/atom. As for the crystal system: monoclinic.



Entry 6:
## Pa2NbSi2 (PBE)

Data for a relaxed Pa2NbSi2 crystal.

Cell: 3.8261 6.0666 9.4457 Å, 83.84 78.32 71.62°
Sites, in units of the cell vectors:
Nb  0.7903  0.0505  0.3689
Pa  0.5268  0.6460  0.3003
Si  0.9873  0.1315  0.8939
Pa  0.7046  0.7084  0.8824
Si  0.0127  0.8685  0.1061
Si  0.8811  0.6839  0.5540
Pa  0.2954  0.2916  0.1176
Pa  0.4732  0.3540  0.6997
Si  0.1189  0.3161  0.4460
Nb  0.2097  0.9495  0.6311

Computed properties:
The space-group type is C2/m, No. 12. As for the total energy: -84.6 eV for the cell shown. As for the crystal system: monoclinic. The energy relative to the elements, uncorrected is -2.37 eV/f.u.



Entry 7:
## BC2 (PBE)

Data for a relaxed BC2 crystal.

Cell: 6.0922 6.0922 5.0889 Å, 102.44 102.44 24.62°
Sites, in units of the cell vectors:
B  0.0092  0.0092  0.0214
C  0.2500  0.2500  0.8785
B  0.8950  0.8950  0.6855
C  0.9070  0.9070  0.1980
B  0.0064  0.0064  0.4935
C  0.6694  0.6694  0.8364
C  0.5940  0.5940  0.5487
B  0.2550  0.2550  0.3761
C  0.3265  0.3265  0.6768
C  0.3329  0.3329  0.1579
C  0.5929  0.5929  0.0462
C  0.6616  0.6616  0.3311

Computed properties:
The space-group type is Cm, No. 8. As for the total energy: -96.9 eV for the cell shown. Its energy of formation is 297 meV/atom. As for the crystal system: monoclinic.



Entry 8:
## Na3Eu (PBE)

Data for a relaxed Na3Eu crystal.

Cell: 5.4607 5.4607 5.4607 Å, 90.00 90.00 90.00°
Sites, in units of the cell vectors:
Na  0.5000  0.5000  0.0000
Eu  0.0000  0.0000  0.0000
Na  0.0000  0.5000  0.5000
Na  0.5000  0.0000  0.5000

Computed properties:
The space-group type is Pm-3m, No. 221. As for the total energy: -13.8 eV for the cell shown. Its energy of formation is 113 meV/atom. As for the crystal system: cubic.



Entry 9:
## TiNb14Sn (PBE)

Data for a relaxed TiNb14Sn crystal.

Cell: 6.6551 6.6551 6.6424 Å, 90.00 90.00 90.00°
Sites, in units of the cell vectors:
Nb  0.3750  0.3750  0.0000
Nb  0.1301  0.6199  0.7568
Nb  0.6199  0.6199  0.2432
Sn  0.8750  0.8750  0.5000
Nb  0.3750  0.8750  0.5000
Nb  0.8750  0.8750  0.0000
Nb  0.1301  0.1301  0.2433
Nb  0.8750  0.3750  0.5000
Nb  0.1301  0.1301  0.7567
Nb  0.8750  0.3750  0.0000
Nb  0.6199  0.1301  0.7568
Nb  0.1301  0.6199  0.2432
Ti  0.3750  0.3750  0.5000
Nb  0.6199  0.6199  0.7568
Nb  0.3750  0.8750  0.0000
Nb  0.6199  0.1301  0.2432

Computed properties:
The space-group type is P4/mmm, No. 123. As for the total energy: -153.5 eV for the cell shown. Its energy of formation is -42 meV/atom. As for the crystal system: tetragonal.



Entry 10:
## Dy4SeS3 (PBE)

Data for a relaxed Dy4SeS3 crystal.

Cell: 5.5876 5.5876 5.5876 Å, 90.00 90.00 90.00°
Sites, in units of the cell vectors:
S  0.5000  0.5000  0.0000
S  0.0000  0.5000  0.5000
Dy  0.0000  0.0000  0.5000
S  0.5000  0.0000  0.5000
Dy  0.0000  0.5000  0.0000
Dy  0.5000  0.5000  0.5000
Se  0.0000  0.0000  0.0000
Dy  0.5000  0.0000  0.0000

Computed properties:
The space-group type is Pm-3m, No. 221. As for the total energy: -49.5 eV for the cell shown. As for the crystal system: cubic. The energy relative to the elements, uncorrected is -15.21 eV/f.u.



Entry 11:
## CaNi4C2 (PBE)

Data for a relaxed CaNi4C2 crystal.

Cell: 3.5231 3.5131 6.8712 Å, 104.81 90.00 90.00°
Sites, in units of the cell vectors:
Ni  0.5000  0.8216  0.6432
Ni  0.5000  0.1784  0.3568
Ca  0.0000  0.0000  0.0000
C  0.5000  0.3748  0.7495
C  0.5000  0.6252  0.2505
Ni  0.0000  0.3230  0.6460
Ni  0.0000  0.6770  0.3540

Computed properties:
The space-group type is Cmmm, No. 65. As for the total energy: -43.5 eV for the cell shown. Its energy of formation is 12 meV/atom. As for the crystal system: orthorhombic.



Entry 12:
## CrFeP2 (PBE)

Data for a relaxed CrFeP2 crystal.

Cell: 4.2799 2.7276 3.9028 Å, 90.00 90.00 90.00°
Sites, in units of the cell vectors:
P  0.5000  0.3751  0.2548
Fe  0.5000  0.8750  0.7518
Cr  0.0000  0.3750  0.5025
P  0.0000  0.8749  0.9909

Computed properties:
The space-group type is Pmm2, No. 25. As for the total energy: -30.0 eV for the cell shown. Its energy of formation is -278 meV/atom. As for the crystal system: orthorhombic.



Entry 13:
## KZrHg (PBE)

Data for a relaxed KZrHg crystal.

Cell: 8.3215 8.3218 3.3471 Å, 78.39 78.40 23.20°
Sites, in units of the cell vectors:
Hg  0.9800  0.9800  0.0200
Zr  0.3659  0.3659  0.6341
K  0.6541  0.6541  0.3459

Computed properties:
The space-group type is I4mm, No. 107. As for the total energy: -9.0 eV for the cell shown. Its energy of formation is 302 meV/atom. As for the crystal system: tetragonal.



Entry 14:
## La2MgW (PBE)

Data for a relaxed La2MgW crystal.

Cell: 3.1288 3.1288 11.2522 Å, 90.00 90.00 112.39°
Sites, in units of the cell vectors:
La  0.5000  0.5000  0.2718
Mg  0.0000  0.0000  0.5398
La  0.0000  0.0000  0.9488
W  0.5000  0.5000  0.7396

Computed properties:
The space-group type is Cmm2, No. 35. As for the total energy: -22.2 eV for the cell shown. Its energy of formation is 550 meV/atom. As for the crystal system: orthorhombic.



Entry 15:
## K2SrHgO (PBE)

Data for a relaxed K2SrHgO crystal.

Cell: 7.2869 4.3361 7.2869 Å, 90.00 90.00 90.00°
Sites, in units of the cell vectors:
O  0.0000  0.5000  0.0000
K  0.0000  0.0000  0.5000
K  0.5000  0.0000  0.0000
Hg  0.0000  0.0000  0.0000
Sr  0.5000  0.5000  0.5000

Computed properties:
The space-group type is P4/mmm, No. 123. As for the total energy: -9.0 eV for the cell shown. As for the crystal system: tetragonal. The energy relative to the elements, uncorrected is 0.11 eV/f.u.



Entry 16:
## MgTi4P6O24 (PBE)

Data for a relaxed MgTi4P6O24 crystal.

Cell: 8.5558 8.5558 8.5558 Å, 60.73 60.73 60.73°
Sites, in units of the cell vectors:
P  0.2542  0.5301  0.9536
O  0.1973  0.3671  0.9960
Ti  0.6467  0.6467  0.6467
O  0.4881  0.1162  0.3188
O  0.9068  0.2784  0.0599
O  0.6329  0.0040  0.8027
O  0.8838  0.6812  0.5119
O  0.5483  0.7606  0.4198
O  0.0599  0.9068  0.2784
O  0.5802  0.4517  0.2394
O  0.4198  0.5483  0.7606
O  0.7606  0.4198  0.5483
P  0.4699  0.0464  0.7458
O  0.9960  0.1973  0.3671
P  0.0464  0.7458  0.4699
Ti  0.3533  0.3533  0.3533
Mg  0.5000  0.5000  0.5000
P  0.5301  0.9536  0.2542
Ti  0.1318  0.1318  0.1318
O  0.8027  0.6329  0.0040
O  0.7216  0.9401  0.0932
O  0.5119  0.8838  0.6812
O  0.6812  0.5119  0.8838
O  0.2394  0.5802  0.4517
O  0.9401  0.0932  0.7216
Ti  0.8682  0.8682  0.8682
O  0.0040  0.8027  0.6329
O  0.1162  0.3188  0.4881
O  0.0932  0.7216  0.9401
O  0.2784  0.0599  0.9068
P  0.9536  0.2542  0.5301
O  0.4517  0.2394  0.5802
O  0.3188  0.4881  0.1162
P  0.7458  0.4699  0.0464
O  0.3671  0.9960  0.1973

Computed properties:
The space-group type is R-3, No. 148. As for the total energy: -274.6 eV for the cell shown. As for the crystal system: trigonal. The energy relative to the elements, uncorrected is -89.96 eV/f.u.



Entry 17:
## KCdAs2 (PBE)

Data for a relaxed KCdAs2 crystal.

Cell: 3.2573 3.2573 9.0552 Å, 90.00 90.00 90.00°
Sites, in units of the cell vectors:
As  0.0000  0.0000  0.0328
As  0.0000  0.0000  0.4672
Cd  0.5000  0.5000  0.2500
K  0.5000  0.5000  0.7500

Computed properties:
The space-group type is P4/mmm, No. 123. As for the total energy: -11.1 eV for the cell shown. Its energy of formation is 51 meV/atom. As for the crystal system: tetragonal.



Entry 18:
## LiYCd3 (PBE)

Data for a relaxed LiYCd3 crystal.

Cell: 5.9033 5.9033 5.9033 Å, 90.00 90.00 90.00°
Sites, in units of the cell vectors:
Li  0.5000  0.5000  0.5000
Y  0.0000  0.0000  0.0000
Cd  0.0000  0.0000  0.5000
Cd  0.5000  0.0000  0.0000
Cd  0.0000  0.5000  0.0000

Computed properties:
The space-group type is Pm-3m, No. 221. As for the total energy: -8.4 eV for the cell shown. Its energy of formation is 548 meV/atom. As for the crystal system: cubic.



Entry 19:
## Rb2CdOs (PBE)

Data for a relaxed Rb2CdOs crystal.

Cell: 4.3116 4.3116 12.3608 Å, 79.96 79.96 90.00°
Sites, in units of the cell vectors:
Rb  0.1219  0.6250  0.2500
Rb  0.8750  0.8781  0.7500
Cd  0.2500  0.7500  0.5000
Os  0.0000  0.0000  0.0000
Cd  0.5000  0.5000  0.0000
Rb  0.3750  0.3719  0.7500
Os  0.7500  0.2500  0.5000
Rb  0.6281  0.1250  0.2500

Computed properties:
The space-group type is I-42d, No. 122. As for the total energy: -16.8 eV for the cell shown. Its energy of formation is 1426 meV/atom. As for the crystal system: tetragonal.



Entry 20:
## LaMgHg4 (PBE)

Data for a relaxed LaMgHg4 crystal.

Cell: 4.5709 4.5709 8.4280 Å, 90.00 90.00 90.00°
Sites, in units of the cell vectors:
Hg  0.5000  0.0000  0.7197
Hg  0.0000  0.5000  0.7197
La  0.0000  0.0000  0.0000
Hg  0.5000  0.0000  0.2803
Hg  0.0000  0.5000  0.2803
Mg  0.5000  0.5000  0.5000

Computed properties:
The space-group type is P4/mmm, No. 123. As for the total energy: -8.6 eV for the cell shown. Its energy of formation is -142 meV/atom. As for the crystal system: tetragonal.



Entry 21:
## Ce2YOs2 (PBE)

Data for a relaxed Ce2YOs2 crystal.

Cell: 4.5277 6.0272 9.5303 Å, 75.07 76.26 67.94°
Sites, in units of the cell vectors:
Os  0.6116  0.3892  0.3876
Ce  0.1704  0.7381  0.9211
Os  0.5550  0.7854  0.1045
Os  0.3884  0.6108  0.6124
Ce  0.9810  0.3323  0.7057
Y  0.7129  0.9394  0.6349
Ce  0.8296  0.2619  0.0789
Y  0.2871  0.0606  0.3651
Ce  0.0190  0.6677  0.2943
Os  0.4450  0.2146  0.8955

Computed properties:
The space-group type is C2/m, No. 12. As for the total energy: -83.0 eV for the cell shown. Its energy of formation is -146 meV/atom. As for the crystal system: monoclinic.



Entry 22:
## Ag12Se6S (PBE)

Data for a relaxed Ag12Se6S crystal.

Cell: 7.6993 7.6993 7.6993 Å, 99.31 99.31 99.31°
Sites, in units of the cell vectors:
Ag  0.2319  0.5522  0.4090
Ag  0.0799  0.9695  0.6833
Ag  0.0305  0.3167  0.9201
Ag  0.5910  0.7681  0.4478
Ag  0.4478  0.5910  0.7681
Se  0.4234  0.9078  0.6952
Ag  0.7681  0.4478  0.5910
Se  0.6952  0.4234  0.9078
Ag  0.4090  0.2319  0.5522
Ag  0.9201  0.0305  0.3167
Se  0.9078  0.6952  0.4234
Se  0.3048  0.5766  0.0922
Se  0.0922  0.3048  0.5766
Ag  0.3167  0.9201  0.0305
Ag  0.6833  0.0799  0.9695
Se  0.5766  0.0922  0.3048
Ag  0.5522  0.4090  0.2319
S  0.0000  0.0000  0.0000
Ag  0.9695  0.6833  0.0799

Computed properties:
The space-group type is R-3, No. 148. As for the total energy: -59.4 eV for the cell shown. As for the crystal system: trigonal. The energy relative to the elements, uncorrected is -0.16 eV/f.u.



Entry 23:
## YSi2Cl (PBE)

Data for a relaxed YSi2Cl crystal.

Cell: 9.1388 9.1388 6.9230 Å, 48.70 48.70 90.00°
Sites, in units of the cell vectors:
Cl  0.2500  0.7500  0.5000
Y  0.7500  0.2500  0.5000
Si  0.3750  0.3426  0.7500
Y  0.0000  0.0000  0.0000
Cl  0.5000  0.5000  0.0000
Si  0.6574  0.1250  0.2500
Si  0.0926  0.6250  0.2500
Si  0.8750  0.9074  0.7500

Computed properties:
The space-group type is I-42d, No. 122. As for the total energy: -39.1 eV for the cell shown. As for the crystal system: tetragonal. The energy relative to the elements, uncorrected is -0.37 eV/f.u.



Entry 24:
## TbPmTmAl (PBE)

Data for a relaxed TbPmTmAl crystal.

Cell: 3.5174 3.5174 9.0691 Å, 90.00 90.00 90.00°
Sites, in units of the cell vectors:
Tb  0.5000  0.5000  0.7811
Tm  0.5000  0.5000  0.3609
Al  0.0000  0.0000  0.5670
Pm  0.0000  0.0000  0.0758

Computed properties:
The space-group type is P4mm, No. 99. As for the total energy: -18.4 eV for the cell shown. Its energy of formation is -194 meV/atom. As for the crystal system: tetragonal.